DFT (GGA-PBE) results for a relaxed structure of BaAl3Ga.

a b c (Å): 5.1458 5.1458 5.1458
angles (deg): 90.00 90.00 90.00
Positions (direct):
1 Ba 0.0000 0.0000 0.0000
2 Al 0.0000 0.5000 0.5000
3 Al 0.5000 0.0000 0.5000
4 Al 0.5000 0.5000 0.0000
5 Ga 0.5000 0.5000 0.5000

Values from the calculation:
DOS(E_F) in states/eV/f.u.: 3.14
Energy of formation from the pure elements in eV per atom: 0.20
Excess energy over the best structure of this formula in the dataset in kJ/mol of atoms: 49.2
V in Å³ per cell: 136.3
Crystal system: cubic